1.
The following is a PBE calculation of CaTl2Ag6 after structural relaxation, from the Alexandria database.

## Properties
The crystal system is cubic. The uncorrected energy comes out at -2.39 eV per atom.

a = 6.8417 Å, b = 6.8417 Å, c = 6.8417 Å
α = 60.00°, β = 60.00°, γ = 60.00°
Closest atoms and distances in Å follow each position.
Atoms (fractional coordinates):
Ca 0.0000 0.0000 0.0000  6 Ag 2.85
Tl 0.2500 0.2500 0.2500  12 Ag 3.45
Tl 0.7500 0.7500 0.7500  12 Ag 3.45
Ag 0.2943 0.2943 0.7057  4 Ag 2.81, 1 Ca 2.85
Ag 0.2943 0.7057 0.2943  4 Ag 2.81, 1 Ca 2.85
Ag 0.2943 0.7057 0.7057  4 Ag 2.81, 1 Ca 2.85
Ag 0.7057 0.2943 0.2943  4 Ag 2.81, 1 Ca 2.85
Ag 0.7057 0.2943 0.7057  4 Ag 2.81, 1 Ca 2.85
Ag 0.7057 0.7057 0.2943  4 Ag 2.81, 1 Ca 2.85

2.
The following is a PBE calculation of Ca4Tl5Ag after structural relaxation, from the Alexandria database.

## Properties
The crystal system is monoclinic. The uncorrected energy comes out at -2.58 eV per atom.

a = 8.6386 Å, b = 8.6386 Å, c = 6.6602 Å
α = 105.21°, β = 105.21°, γ = 36.58°
Closest atoms and distances in Å follow each position.
Atoms (fractional coordinates):
Ca 0.0917 0.0917 0.3756  6 Tl 3.26-3.45, 2 Ag 3.31
Ca 0.3084 0.3084 0.2090  1 Ag 3.20, 7 Tl 3.21-3.38
Ca 0.6916 0.6916 0.7910  1 Ag 3.20, 7 Tl 3.21-3.38
Ca 0.9083 0.9083 0.6244  6 Tl 3.26-3.45, 2 Ag 3.31
Tl 0.1071 0.1071 0.8973  6 Ca 3.21-3.41, 2 Tl 3.40
Tl 0.2965 0.2965 0.6969  7 Ca 3.31-3.45, 2 Tl 3.39-3.70
Tl 0.5000 0.5000 0.0000  2 Ag 3.33, 6 Tl 3.39-3.40, 4 Ca 3.71
Tl 0.7035 0.7035 0.3031  7 Ca 3.31-3.45, 2 Tl 3.39-3.70
Tl 0.8929 0.8929 0.1027  6 Ca 3.21-3.41, 2 Tl 3.40
Ag 0.5000 0.5000 0.5000  6 Ca 3.20-3.31, 2 Tl 3.33

3.
The following is a PBE calculation of Ca2TlAg3 after structural relaxation, from the Alexandria database.

## Properties
The crystal system is orthorhombic. The calculation puts the relative energy among the computed polymorphs at 50.9 meV/atom.

a = 9.6314 Å, b = 9.6314 Å, c = 9.6314 Å
α = 155.26°, β = 154.58°, γ = 35.76°
Closest atoms and distances in Å follow each position.
Atoms (fractional coordinates):
Ca 0.0000 0.0000 0.0000  6 Ag 3.16-3.49, 4 Tl 3.44
Ca 0.7237 0.2237 0.5000  8 Ag 3.22-3.28
Tl 0.4041 0.4041 0.0000  3 Ag 2.79-2.88
Ag 0.1537 0.6537 0.5000  3 Ag 2.71
Ag 0.3017 0.8017 0.5000  1 Ag 2.71, 2 Tl 2.79
Ag 0.5612 0.5612 0.0000  2 Ag 2.71, 1 Tl 2.88

4.
The following is a PBE calculation of Ca3TlAg2 after structural relaxation, from the Alexandria database.

## Properties
The crystal system is tetragonal. The calculation puts the relative energy among the computed polymorphs at 0.0 meV/atom.

a = 3.7216 Å, b = 3.7216 Å, c = 11.6585 Å
α = 90.00°, β = 90.00°, γ = 90.00°
Closest atoms and distances in Å follow each position.
Atoms (fractional coordinates):
Ca 0.0000 0.0000 0.0000  8 Ag 3.22
Ca 0.0000 0.0000 0.3201  4 Ag 3.23, 4 Tl 3.36
Ca 0.0000 0.0000 0.6799  4 Ag 3.23, 4 Tl 3.36
Tl 0.5000 0.5000 0.5000  8 Ca 3.36, 4 Tl 3.72
Ag 0.5000 0.5000 0.1593  8 Ca 3.22-3.23
Ag 0.5000 0.5000 0.8407  8 Ca 3.22-3.23

5.
The following is a PBE calculation of Ca2Tl3Ag2 after structural relaxation, from the Alexandria database.

## Properties
The crystal system is orthorhombic. The calculation puts the relative energy among the computed polymorphs at 0.0 meV/atom.

a = 10.8625 Å, b = 10.8625 Å, c = 3.8486 Å
α = 90.00°, β = 90.00°, γ = 155.21°
Closest atoms and distances in Å follow each position.
Atoms (fractional coordinates):
Ca 0.1639 0.8361 0.0000  6 Ag 3.20-3.23, 5 Tl 3.48-3.56
Ca 0.8361 0.1639 0.0000  6 Ag 3.20-3.23, 5 Tl 3.48-3.56
Tl 0.0000 0.0000 0.0000  8 Tl 3.42, 2 Ca 3.48
Tl 0.4244 0.5756 0.5000  1 Ag 2.94, 1 Tl 3.21
Tl 0.5756 0.4244 0.5000  1 Ag 2.94, 1 Tl 3.21
Ag 0.2860 0.7140 0.5000  2 Ag 2.79, 1 Tl 2.94
Ag 0.7140 0.2860 0.5000  2 Ag 2.79, 1 Tl 2.94

6.
The following is a PBE calculation of Ca3Tl4Ag2 after structural relaxation, from the Alexandria database.

## Properties
The crystal system is monoclinic. The calculation puts the relative energy among the computed polymorphs at 0.0 meV/atom.

a = 6.2303 Å, b = 6.2303 Å, c = 9.4358 Å
α = 114.72°, β = 114.72°, γ = 47.91°
Closest atoms and distances in Å follow each position.
Atoms (fractional coordinates):
Ca 0.0000 0.0000 0.0000  8 Tl 3.32-3.53, 4 Ag 3.40, 2 Ca 3.66
Ca 0.3271 0.3271 0.3459  4 Ag 3.30-3.49, 8 Tl 3.35-3.66, 2 Ca 3.66-3.67
Ca 0.6729 0.6729 0.6541  4 Ag 3.30-3.49, 8 Tl 3.35-3.66, 2 Ca 3.66-3.67
Tl 0.0437 0.0437 0.3726  2 Ag 2.86, 1 Tl 2.99
Tl 0.2818 0.2818 0.9356  1 Ag 2.87, 2 Tl 3.03
Tl 0.7182 0.7182 0.0644  1 Ag 2.87, 2 Tl 3.03
Tl 0.9563 0.9563 0.6274  2 Ag 2.86, 1 Tl 2.99
Ag 0.4047 0.4047 0.7289  3 Tl 2.86-2.87
Ag 0.5953 0.5953 0.2711  3 Tl 2.86-2.87

7.
The following is a PBE calculation of CaTlAg3 after structural relaxation, from the Alexandria database.

## Properties
The crystal system is cubic. The calculation puts the relative energy among the computed polymorphs at 707.4 meV/atom.

a = 5.5959 Å, b = 5.5959 Å, c = 5.5959 Å
α = 90.00°, β = 90.00°, γ = 90.00°
Closest atoms and distances in Å follow each position.
Atoms (fractional coordinates):
Ca 0.0000 0.0000 0.0000  6 Ag 2.80
Tl 0.5000 0.5000 0.5000  12 Ag 3.96
Ag 0.0000 0.0000 0.5000  2 Ca 2.80
Ag 0.0000 0.5000 0.0000  2 Ca 2.80
Ag 0.5000 0.0000 0.0000  2 Ca 2.80

8.
The following is a PBE calculation of Ca3Tl4Ag4 after structural relaxation, from the Alexandria database.

## Properties
The crystal system is triclinic. The calculation puts the relative energy among the computed polymorphs at 0.0 meV/atom.

a = 3.5468 Å, b = 4.9950 Å, c = 15.7744 Å
α = 80.95°, β = 83.65°, γ = 89.98°
Closest atoms and distances in Å follow each position.
Atoms (fractional coordinates):
Ca 0.0000 0.0000 0.0000  4 Ag 3.39, 8 Tl 3.42-3.43, 2 Ca 3.55
Ca 0.1413 0.6410 0.7165  6 Tl 3.36-3.37, 6 Ag 3.38-3.41, 2 Ca 3.55
Ca 0.8587 0.3590 0.2835  6 Tl 3.36-3.37, 6 Ag 3.38-3.41, 2 Ca 3.55
Tl 0.3150 0.8145 0.3731  5 Ag 2.89-3.01
Tl 0.4519 0.4504 0.0991  2 Ag 2.84, 1 Tl 3.07
Tl 0.5481 0.5496 0.9009  2 Ag 2.84, 1 Tl 3.07
Tl 0.6850 0.1855 0.6269  5 Ag 2.89-3.01
Ag 0.2625 0.2664 0.4699  4 Tl 2.91-3.01, 4 Ag 3.18-3.22
Ag 0.4085 0.9070 0.1867  3 Tl 2.84-2.89
Ag 0.5915 0.0930 0.8133  3 Tl 2.84-2.89
Ag 0.7375 0.7336 0.5301  4 Tl 2.91-3.01, 4 Ag 3.18-3.22

9.
The following is a PBE calculation of CaTl5Ag after structural relaxation, from the Alexandria database.

## Properties
The crystal system is tetragonal. The uncorrected energy comes out at -2.47 eV per atom.

a = 5.0439 Å, b = 5.0439 Å, c = 7.8532 Å
α = 90.00°, β = 90.00°, γ = 90.00°
Closest atoms and distances in Å follow each position.
Atoms (fractional coordinates):
Ca 0.0000 0.0000 0.0000  12 Tl 3.39-3.57
Tl 0.0000 0.5000 0.2877  2 Ag 3.02, 3 Tl 3.34-3.39, 2 Ca 3.39
Tl 0.0000 0.5000 0.7123  2 Ag 3.02, 3 Tl 3.34-3.39, 2 Ca 3.39
Tl 0.5000 0.0000 0.2877  2 Ag 3.02, 3 Tl 3.34-3.39, 2 Ca 3.39
Tl 0.5000 0.0000 0.7123  2 Ag 3.02, 3 Tl 3.34-3.39, 2 Ca 3.39
Tl 0.5000 0.5000 0.0000  8 Tl 3.39, 4 Ca 3.57
Ag 0.0000 0.0000 0.5000  8 Tl 3.02

10.
The following is a PBE calculation of Ca3Tl4Ag4 after structural relaxation, from the Alexandria database.

## Properties
The crystal system is orthorhombic. The calculation puts the relative energy among the computed polymorphs at 39.1 meV/atom.

a = 9.1797 Å, b = 9.1797 Å, c = 9.1797 Å
α = 150.85°, β = 129.36°, γ = 59.50°
Closest atoms and distances in Å follow each position.
Atoms (fractional coordinates):
Ca 0.0000 0.0000 0.0000  6 Tl 3.34-3.62
Ca 0.3741 0.8741 0.5000  6 Tl 3.29-3.41, 6 Ag 3.44-3.61
Ca 0.6259 0.1259 0.5000  6 Tl 3.29-3.41, 6 Ag 3.44-3.61
Tl 0.2269 0.2269 0.0000  6 Ag 2.90-2.98
Tl 0.3074 0.5000 0.8074  2 Ag 2.83, 1 Tl 3.03
Tl 0.6926 0.5000 0.1926  2 Ag 2.83, 1 Tl 3.03
Tl 0.7731 0.7731 0.0000  6 Ag 2.90-2.98
Ag 0.0196 0.3328 0.6868  4 Tl 2.83-2.98, 1 Ag 2.93
Ag 0.3540 0.6672 0.6868  4 Tl 2.83-2.98, 1 Ag 2.93
Ag 0.6460 0.3328 0.3132  4 Tl 2.83-2.98, 1 Ag 2.93
Ag 0.9804 0.6672 0.3132  4 Tl 2.83-2.98, 1 Ag 2.93

11.
The following is a PBE calculation of Ca3Tl4Ag after structural relaxation, from the Alexandria database.

## Properties
The crystal system is orthorhombic. The calculation puts the relative energy among the computed polymorphs at 114.5 meV/atom.

a = 10.4081 Å, b = 10.4081 Å, c = 10.4081 Å
α = 159.77°, β = 142.40°, γ = 43.07°
Closest atoms and distances in Å follow each position.
Atoms (fractional coordinates):
Ca 0.0000 0.0000 0.0000  8 Tl 3.38, 2 Ca 3.66
Ca 0.2672 0.7672 0.5000  6 Tl 3.27-3.32, 2 Ca 3.66
Ca 0.7328 0.2328 0.5000  6 Tl 3.27-3.32, 2 Ca 3.66
Tl 0.1221 0.3793 0.7428  1 Ag 2.90
Tl 0.3635 0.6207 0.7428  1 Ag 2.90
Tl 0.6365 0.3793 0.2572  1 Ag 2.90
Tl 0.8779 0.6207 0.2572  1 Ag 2.90
Ag 0.5000 0.5000 0.0000  4 Tl 2.90

Which density of states at the Fermi level belongs to each record? In order, 3.05, 4.28, 3.71, 4.57, 4.22, 3.64, 1.71, 5.08, 3.32, 7.26, 5.74 states/eV per cell.